Record 1
MgInCuOs: optimized geometry, PBE.

a = 4.5177 Å, b = 4.5177 Å, c = 4.5177 Å
α = 60.00°, β = 60.00°, γ = 60.00°
Last column: nearest neighbours and their distance in Å.
Element x y z (fractional)
Os 0.2500 0.2500 0.2500  4 In 2.77, 4 Mg 2.77
Mg 0.5000 0.5000 0.5000  4 Cu 2.77, 4 Os 2.77
In 0.0000 0.0000 0.0000  4 Os 2.77, 4 Cu 2.77
Cu 0.7500 0.7500 0.7500  4 Mg 2.77, 4 In 2.77

Values from the calculation:
M_tot in μB per atom: 0.000
Excess energy over the best structure of this formula in the dataset in eV per atom: 0.000

Record 2
PrDyGe2Pd4: optimized geometry, PBE.

a = 4.4291 Å, b = 4.4291 Å, c = 9.2298 Å
α = 90.00°, β = 90.00°, γ = 120.00°
Last column: nearest neighbours and their distance in Å.
Element x y z (fractional)
Pd 0.3333 0.6667 0.6646  3 Ge 2.65, 3 Pd 2.93
Pd 0.0000 0.0000 0.8203  3 Ge 2.66, 3 Pd 2.93, 1 Dy 2.96
Pd 0.0000 0.0000 0.1797  3 Ge 2.66, 3 Pd 2.93, 1 Dy 2.96
Pd 0.3333 0.6667 0.3354  3 Ge 2.65, 3 Pd 2.93
Pr 0.3333 0.6667 0.0000  8 Pd 3.05-3.10
Dy 0.0000 0.0000 0.5000  8 Pd 2.96-2.97
Ge 0.6667 0.3333 0.7401  6 Pd 2.65-2.66
Ge 0.6667 0.3333 0.2599  6 Pd 2.65-2.66

Values from the calculation:
M_tot in μB per atom: 0.000
Calculated total energy in eV per formula unit: -45.75

Record 3
Tb2Re2O5: optimized geometry, PBE.

a = 6.7474 Å, b = 3.9846 Å, c = 3.9846 Å
α = 90.00°, β = 90.00°, γ = 90.00°
Last column: nearest neighbours and their distance in Å.
Element x y z (fractional)
O 0.2410 0.5000 0.0000  2 Re 2.04
O 0.2410 0.0000 0.5000  2 Re 2.04
O 0.7590 0.0000 0.5000  2 Re 2.04
O 0.5000 0.5000 0.5000  2 Re 2.19
O 0.7590 0.5000 0.0000  2 Re 2.04
Tb 0.0000 0.0000 0.0000  8 O 2.57
Tb 0.5000 0.0000 0.0000  12 O 2.65-2.82
Re 0.1752 0.5000 0.5000  5 O 2.04-2.19
Re 0.8248 0.5000 0.5000  5 O 2.04-2.19

Values from the calculation:
M_tot in μB per atom: 0.000
Excess energy over the best structure of this formula in the dataset in eV per atom: 0.000

Record 4
GdDyZr2Ge2: optimized geometry, PBE.

a = 4.1970 Å, b = 4.1970 Å, c = 7.9689 Å
α = 90.00°, β = 90.00°, γ = 90.00°
Last column: nearest neighbours and their distance in Å.
Element x y z (fractional)
Gd 0.5000 0.5000 0.3487  5 Ge 3.05-3.09
Ge 0.0000 0.0000 0.2621  4 Zr 2.96, 4 Gd 3.05, 1 Dy 3.12
Ge 0.5000 0.5000 0.7367  4 Zr 2.96, 4 Dy 3.04, 1 Gd 3.09
Dy 0.0000 0.0000 0.6542  5 Ge 3.04-3.12
Zr 0.0000 0.5000 0.9992  4 Ge 2.96, 4 Zr 2.97
Zr 0.5000 0.0000 0.9992  4 Ge 2.96, 4 Zr 2.97

Values from the calculation:
M_tot in μB per atom: 0.004
Calculated total energy in eV per formula unit: -39.81

Question: What is the M_tot in the fourth record?
Answer: 0.004 μB per atom